VASP calculation (GGA-PBE) on a relaxed Cd5In4Hg4 crystal.

Properties
**Space-group type**: I4/m
**N(E_F)**: 5.1 states/eV/cell
**Magnetic moment**: 0.00 μB per cell
**Calculated total energy**: -1.27 eV/atom
**Crystal system**: tetragonal

abc: 8.514 8.514 8.514
angles: 94.64 94.64 146.96
Element x y z (fractional)
Cd: 0.000 0.000 0.000
Cd: 0.314 0.450 0.764
Cd: 0.450 0.686 0.136
Cd: 0.550 0.314 0.864
Cd: 0.686 0.550 0.236
In: 0.088 0.615 0.703
In: 0.385 0.088 0.473
In: 0.615 0.912 0.527
In: 0.912 0.385 0.297
Hg: 0.145 0.228 0.373
Hg: 0.228 0.855 0.084
Hg: 0.772 0.145 0.916
Hg: 0.855 0.772 0.627

---

VASP calculation (GGA-PBE) on a relaxed Cd8In2Hg crystal.

Properties
**Space-group type**: C2/m
**N(E_F)**: 3.0 states/eV/cell
**Magnetic moment**: 0.00 μB per cell
**Calculated total energy**: -1.13 eV/atom
**Crystal system**: monoclinic

abc: 8.861 8.861 5.204
angles: 106.05 106.05 123.06
Element x y z (fractional)
Cd: 0.087 0.358 0.692
Cd: 0.196 0.804 0.000
Cd: 0.358 0.087 0.692
Cd: 0.411 0.411 0.170
Cd: 0.589 0.589 0.830
Cd: 0.642 0.913 0.308
Cd: 0.804 0.196 0.000
Cd: 0.913 0.642 0.308
In: 0.319 0.681 0.500
In: 0.681 0.319 0.500
Hg: 0.000 0.000 0.000

---

VASP calculation (GGA-PBE) on a relaxed Cd3InHg10 crystal.

Properties
**Space-group type**: Fm-3m
**N(E_F)**: 7.0 states/eV/cell
**Magnetic moment**: 0.00 μB per cell
**Calculated total energy**: -0.58 eV/atom
**Crystal system**: cubic

abc: 10.405 10.405 10.405
angles: 60.00 60.00 60.00
Element x y z (fractional)
Cd: 0.207 0.207 0.793
Cd: 0.207 0.793 0.207
Cd: 0.207 0.793 0.793
Cd: 0.793 0.207 0.207
Cd: 0.793 0.207 0.793
Cd: 0.793 0.793 0.207
In: 0.250 0.250 0.250
In: 0.750 0.750 0.750
Hg: 0.137 0.137 0.137
Hg: 0.137 0.137 0.589
Hg: 0.137 0.589 0.137
Hg: 0.164 0.500 0.500
Hg: 0.164 0.500 0.836
Hg: 0.164 0.836 0.500
Hg: 0.411 0.863 0.863
Hg: 0.500 0.164 0.500
Hg: 0.500 0.164 0.836
Hg: 0.500 0.500 0.164
Hg: 0.500 0.500 0.836
Hg: 0.500 0.836 0.164
Hg: 0.500 0.836 0.500
Hg: 0.589 0.137 0.137
Hg: 0.836 0.164 0.500
Hg: 0.836 0.500 0.164
Hg: 0.836 0.500 0.500
Hg: 0.863 0.411 0.863
Hg: 0.863 0.863 0.411
Hg: 0.863 0.863 0.863

---

VASP calculation (GGA-PBE) on a relaxed Cd4In5Hg3 crystal.

Properties
**Space-group type**: C2/m
**N(E_F)**: 4.2 states/eV/cell
**Magnetic moment**: 0.00 μB per cell
**Calculated total energy**: -1.44 eV/atom
**Crystal system**: monoclinic

abc: 5.637 5.637 12.897
angles: 108.46 108.46 59.85
Element x y z (fractional)
Cd: 0.096 0.096 0.297
Cd: 0.103 0.103 0.943
Cd: 0.897 0.897 0.057
Cd: 0.904 0.904 0.703
In: 0.000 0.000 0.500
In: 0.345 0.345 0.193
In: 0.372 0.372 0.891
In: 0.628 0.628 0.109
In: 0.655 0.655 0.807
Hg: 0.310 0.310 0.642
Hg: 0.500 0.500 0.500
Hg: 0.690 0.690 0.358

---

VASP calculation (GGA-PBE) on a relaxed Cd3In3Hg5 crystal.

Properties
**Space-group type**: P-62m
**N(E_F)**: 4.1 states/eV/cell
**Magnetic moment**: 0.00 μB per cell
**Calculated total energy**: -1.09 eV/atom
**Crystal system**: hexagonal

abc: 10.536 10.536 3.117
angles: 90.00 90.00 120.00
Element x y z (fractional)
Cd: 0.000 0.168 0.000
Cd: 0.168 0.000 0.000
Cd: 0.832 0.832 0.000
In: 0.000 0.422 0.500
In: 0.422 0.000 0.500
In: 0.578 0.578 0.500
Hg: 0.000 0.697 0.500
Hg: 0.303 0.303 0.500
Hg: 0.333 0.667 0.500
Hg: 0.667 0.333 0.500
Hg: 0.697 0.000 0.500

---

VASP calculation (GGA-PBE) on a relaxed Cd2In3Hg crystal.

Properties
**Space-group type**: C2/c
**N(E_F)**: 2.8 states/eV/cell
**Magnetic moment**: 0.00 μB per cell
**Calculated total energy**: -1.69 eV/atom
**Crystal system**: monoclinic

abc: 5.735 5.735 9.675
angles: 92.37 92.37 102.72
Element x y z (fractional)
Cd: 0.096 0.648 0.874
Cd: 0.352 0.904 0.626
Cd: 0.648 0.096 0.374
Cd: 0.904 0.352 0.126
In: 0.122 0.878 0.250
In: 0.177 0.328 0.484
In: 0.328 0.177 0.984
In: 0.672 0.823 0.016
In: 0.823 0.672 0.516
In: 0.878 0.122 0.750
Hg: 0.469 0.531 0.250
Hg: 0.531 0.469 0.750

---

VASP calculation (GGA-PBE) on a relaxed CdIn4Hg crystal.

Properties
**Space-group type**: F-43m
**N(E_F)**: 3.7 states/eV/cell
**Magnetic moment**: 0.00 μB per cell
**Calculated total energy**: -1.89 eV/atom
**Crystal system**: cubic

abc: 6.235 6.235 6.235
angles: 60.00 60.00 60.00
Element x y z (fractional)
Cd: 0.000 0.000 0.000
In: 0.375 0.375 0.375
In: 0.375 0.375 0.875
In: 0.375 0.875 0.375
In: 0.875 0.375 0.375
Hg: 0.750 0.750 0.750

---

VASP calculation (GGA-PBE) on a relaxed Cd3InHg crystal.

Properties
**Space-group type**: P6_3mc
**N(E_F)**: 4.0 states/eV/cell
**Magnetic moment**: 0.00 μB per cell
**Calculated total energy**: -1.13 eV/atom
**Crystal system**: hexagonal

abc: 3.244 3.244 26.253
angles: 90.00 90.00 120.00
Element x y z (fractional)
Cd: 0.000 0.000 0.000
Cd: 0.000 0.000 0.500
Cd: 0.333 0.667 0.096
Cd: 0.333 0.667 0.795
Cd: 0.667 0.333 0.295
Cd: 0.667 0.333 0.596
In: 0.333 0.667 0.398
In: 0.667 0.333 0.898
Hg: 0.000 0.000 0.196
Hg: 0.000 0.000 0.696

---

VASP calculation (GGA-PBE) on a relaxed Cd2In3Hg crystal.

Properties
**Space-group type**: C2/c
**N(E_F)**: 4.5 states/eV/cell
**Magnetic moment**: 0.00 μB per cell
**Calculated total energy**: -1.68 eV/atom
**Crystal system**: monoclinic

abc: 7.219 7.219 6.142
angles: 90.00 90.00 101.45
Element x y z (fractional)
Cd: 0.083 0.584 0.751
Cd: 0.416 0.917 0.749
Cd: 0.584 0.083 0.251
Cd: 0.917 0.416 0.249
In: 0.179 0.180 0.502
In: 0.180 0.179 0.002
In: 0.242 0.758 0.250
In: 0.758 0.242 0.750
In: 0.820 0.821 0.998
In: 0.821 0.820 0.498
Hg: 0.486 0.514 0.750
Hg: 0.514 0.486 0.250

---

VASP calculation (GGA-PBE) on a relaxed Cd6In12Hg crystal.

Properties
**Space-group type**: R-3
**N(E_F)**: 6.9 states/eV/cell
**Magnetic moment**: 0.00 μB per cell
**Calculated total energy**: -1.98 eV/atom
**Crystal system**: trigonal

abc: 8.314 8.314 8.314
angles: 103.59 103.59 103.59
Element x y z (fractional)
Cd: 0.059 0.320 0.220
Cd: 0.220 0.059 0.320
Cd: 0.320 0.220 0.059
Cd: 0.680 0.780 0.941
Cd: 0.780 0.941 0.680
Cd: 0.941 0.680 0.780
In: 0.014 0.664 0.161
In: 0.161 0.014 0.664
In: 0.190 0.639 0.553
In: 0.336 0.839 0.986
In: 0.361 0.447 0.810
In: 0.447 0.810 0.361
In: 0.553 0.190 0.639
In: 0.639 0.553 0.190
In: 0.664 0.161 0.014
In: 0.810 0.361 0.447
In: 0.839 0.986 0.336
In: 0.986 0.336 0.839
Hg: 0.500 0.500 0.500

---

VASP calculation (GGA-PBE) on a relaxed Cd6InHg2 crystal.

Properties
**Space-group type**: C2/m
**N(E_F)**: 3.3 states/eV/cell
**Magnetic moment**: 0.00 μB per cell
**Calculated total energy**: -0.90 eV/atom
**Crystal system**: monoclinic

abc: 7.354 7.354 5.024
angles: 90.04 90.04 60.01
Element x y z (fractional)
Cd: 0.116 0.693 0.673
Cd: 0.307 0.884 0.327
Cd: 0.308 0.308 0.325
Cd: 0.692 0.692 0.675
Cd: 0.693 0.116 0.673
Cd: 0.884 0.307 0.327
In: 0.500 0.500 0.000
Hg: 0.167 0.167 0.827
Hg: 0.833 0.833 0.173

---

VASP calculation (GGA-PBE) on a relaxed Cd5In2Hg5 crystal.

Properties
**Space-group type**: C2/m
**N(E_F)**: 3.6 states/eV/cell
**Magnetic moment**: 0.00 μB per cell
**Calculated total energy**: -0.93 eV/atom
**Crystal system**: monoclinic

abc: 7.198 7.198 13.931
angles: 107.25 107.25 26.20
Element x y z (fractional)
Cd: 0.000 0.000 0.000
Cd: 0.341 0.341 0.559
Cd: 0.403 0.403 0.150
Cd: 0.597 0.597 0.850
Cd: 0.659 0.659 0.441
In: 0.182 0.182 0.690
In: 0.818 0.818 0.310
Hg: 0.000 0.000 0.500
Hg: 0.095 0.095 0.244
Hg: 0.302 0.302 0.918
Hg: 0.698 0.698 0.082
Hg: 0.905 0.905 0.756

---

VASP calculation (GGA-PBE) on a relaxed CdIn2Hg crystal.

Properties
**Space-group type**: P2/m
**N(E_F)**: 1.4 states/eV/cell
**Magnetic moment**: 0.00 μB per cell
**Calculated total energy**: -1.64 eV/atom
**Crystal system**: monoclinic

abc: 3.513 5.041 6.021
angles: 90.00 100.05 90.00
Element x y z (fractional)
Cd: 0.000 0.000 0.000
In: 0.264 0.500 0.749
In: 0.736 0.500 0.251
Hg: 0.500 0.000 0.500

---

VASP calculation (GGA-PBE) on a relaxed Cd3InHg12 crystal.

Properties
**Space-group type**: P4/mmm
**N(E_F)**: 4.8 states/eV/cell
**Magnetic moment**: 0.00 μB per cell
**Calculated total energy**: -0.55 eV/atom
**Crystal system**: tetragonal

abc: 5.601 5.601 13.353
angles: 90.00 90.00 90.00
Element x y z (fractional)
Cd: 0.000 0.000 0.000
Cd: 0.000 0.000 0.245
Cd: 0.000 0.000 0.755
In: 0.000 0.000 0.500
Hg: 0.000 0.500 0.122
Hg: 0.000 0.500 0.371
Hg: 0.000 0.500 0.629
Hg: 0.000 0.500 0.878
Hg: 0.500 0.000 0.122
Hg: 0.500 0.000 0.371
Hg: 0.500 0.000 0.629
Hg: 0.500 0.000 0.878
Hg: 0.500 0.500 0.000
Hg: 0.500 0.500 0.249
Hg: 0.500 0.500 0.500
Hg: 0.500 0.500 0.751

---

VASP calculation (GGA-PBE) on a relaxed Cd3In2Hg8 crystal.

Properties
**Space-group type**: P2/m
**N(E_F)**: 2.6 states/eV/cell
**Magnetic moment**: 0.00 μB per cell
**Calculated total energy**: -0.80 eV/atom
**Crystal system**: monoclinic

abc: 7.997 3.252 13.378
angles: 90.00 106.02 90.00
Element x y z (fractional)
Cd: 0.000 0.000 0.000
Cd: 0.136 0.500 0.224
Cd: 0.864 0.500 0.776
In: 0.472 0.000 0.697
In: 0.528 0.000 0.303
Hg: 0.096 0.500 0.620
Hg: 0.235 0.000 0.852
Hg: 0.284 0.000 0.452
Hg: 0.381 0.500 0.077
Hg: 0.619 0.500 0.923
Hg: 0.716 0.000 0.548
Hg: 0.765 0.000 0.148
Hg: 0.904 0.500 0.380

---

VASP calculation (GGA-PBE) on a relaxed Cd4InHg5 crystal.

Properties
**Space-group type**: P4/mmm
**N(E_F)**: 3.3 states/eV/cell
**Magnetic moment**: 0.00 μB per cell
**Calculated total energy**: -0.77 eV/atom
**Crystal system**: tetragonal

abc: 3.783 3.783 17.443
angles: 90.00 90.00 90.00
Element x y z (fractional)
Cd: 0.000 0.000 0.098
Cd: 0.000 0.000 0.293
Cd: 0.000 0.000 0.707
Cd: 0.000 0.000 0.902
In: 0.000 0.000 0.500
Hg: 0.500 0.500 0.000
Hg: 0.500 0.500 0.196
Hg: 0.500 0.500 0.392
Hg: 0.500 0.500 0.608
Hg: 0.500 0.500 0.804

---

VASP calculation (GGA-PBE) on a relaxed CdIn3Hg12 crystal.

Properties
**Space-group type**: P4/mmm
**N(E_F)**: 4.0 states/eV/cell
**Magnetic moment**: 0.00 μB per cell
**Calculated total energy**: -0.79 eV/atom
**Crystal system**: tetragonal

abc: 4.709 4.709 19.342
angles: 90.00 90.00 90.00
Element x y z (fractional)
Cd: 0.000 0.000 0.000
In: 0.000 0.000 0.248
In: 0.000 0.000 0.500
In: 0.000 0.000 0.752
Hg: 0.000 0.500 0.123
Hg: 0.000 0.500 0.375
Hg: 0.000 0.500 0.625
Hg: 0.000 0.500 0.877
Hg: 0.500 0.000 0.123
Hg: 0.500 0.000 0.375
Hg: 0.500 0.000 0.625
Hg: 0.500 0.000 0.877
Hg: 0.500 0.500 0.000
Hg: 0.500 0.500 0.249
Hg: 0.500 0.500 0.500
Hg: 0.500 0.500 0.751

---

VASP calculation (GGA-PBE) on a relaxed CdInHg crystal.

Properties
**Space-group type**: C2/m
**N(E_F)**: 2.2 states/eV/cell
**Magnetic moment**: 0.00 μB per cell
**Calculated total energy**: -1.31 eV/atom
**Crystal system**: monoclinic

abc: 4.458 4.458 7.767
angles: 90.00 90.00 90.00
Element x y z (fractional)
Cd: 0.250 0.750 0.000
Cd: 0.750 0.250 0.000
In: 0.249 0.249 0.671
In: 0.751 0.751 0.329
Hg: 0.251 0.251 0.289
Hg: 0.749 0.749 0.711